No. 1
PmAgO3: relaxed, PBE-GGA.

Lattice parameters (Å, degrees): 5.520 5.520 5.520 64.07 64.07 64.07
Fractional coordinates of all 10 atoms:
Pm (0.250, 0.250, 0.250)
Pm (0.750, 0.750, 0.750)
Ag (0.000, 0.000, 0.000)
Ag (0.500, 0.500, 0.500)
O (0.141, 0.750, 0.359)
O (0.250, 0.641, 0.859)
O (0.359, 0.141, 0.750)
O (0.641, 0.859, 0.250)
O (0.750, 0.359, 0.141)
O (0.859, 0.250, 0.641)

## Properties
Electronic total energy in eV per atom: -6.076
Spin magnetization in μB per formula unit: 0.0
Crystal system: trigonal

---

No. 2
AcUSb: relaxed, PBE-GGA.

Lattice parameters (Å, degrees): 5.335 5.335 5.335 60.00 60.00 60.00
Fractional coordinates of all 3 atoms:
Ac (0.000, 0.000, 0.000)
U (0.750, 0.750, 0.750)
Sb (0.500, 0.500, 0.500)

## Properties
Spin magnetization in μB per formula unit: 5.2
Crystal system: cubic
Distance to the lowest polymorph of the same formula in meV per atom: 0

---

No. 3
NdGdMg4Pd2: relaxed, PBE-GGA.

Lattice parameters (Å, degrees): 7.285 7.853 7.853 37.99 90.00 90.00
Fractional coordinates of all 8 atoms:
Nd (0.000, 0.000, 0.000)
Gd (0.000, 0.229, 0.229)
Mg (0.294, 0.706, 0.706)
Mg (0.305, 0.498, 0.498)
Mg (0.695, 0.498, 0.498)
Mg (0.706, 0.706, 0.706)
Pd (0.000, 0.410, 0.410)
Pd (0.000, 0.808, 0.808)

## Properties
Electronic total energy in eV per atom: -3.043
Spin magnetization in μB per formula unit: 0.0
Crystal system: orthorhombic